[1]
The following is a PBE calculation of a relaxed Nd2HBr5 crystal, from the Alexandria database.

- electronic total energy (eV per atom) = -4.06
- space-group type = No. 63
- density (g/cm³) = 4.1

Cell: 7.550 7.550 20.470 Å, 90.00 90.00 151.52°
Element x y z (fractional)
Nd (0.246, 0.754, 0.658)
Nd (0.246, 0.754, 0.842)
Nd (0.754, 0.246, 0.158)
Nd (0.754, 0.246, 0.342)
H (0.206, 0.794, 0.250)
H (0.794, 0.206, 0.750)
Br (0.112, 0.888, 0.119)
Br (0.112, 0.888, 0.381)
Br (0.351, 0.649, 0.074)
Br (0.351, 0.649, 0.426)
Br (0.389, 0.611, 0.250)
Br (0.611, 0.389, 0.750)
Br (0.649, 0.351, 0.574)
Br (0.649, 0.351, 0.926)
Br (0.888, 0.112, 0.619)
Br (0.888, 0.112, 0.881)

***

[2]
The following is a PBE calculation of a relaxed LaNiH6Rh crystal, from the Alexandria database.

- electronic total energy (eV per atom) = -4.64
- space-group type = No. 187
- density (g/cm³) = 6.2

Cell: 4.691 4.691 4.284 Å, 90.00 90.00 120.00°
Element x y z (fractional)
La (0.000, 0.000, 0.000)
Ni (0.667, 0.333, 0.500)
H (0.506, 0.011, 0.255)
H (0.506, 0.011, 0.745)
H (0.506, 0.494, 0.255)
H (0.506, 0.494, 0.745)
H (0.989, 0.494, 0.255)
H (0.989, 0.494, 0.745)
Rh (0.333, 0.667, 0.500)

***

[3]
The following is a PBE calculation of a relaxed Ca3PrSe4 crystal, from the Alexandria database.

- raw formation energy (eV/f.u.) = -15.64
- space-group type = No. 65
- density (g/cm³) = 4.5

Cell: 8.469 11.956 4.212 Å, 90.00 90.00 90.00°
Element x y z (fractional)
Ca (0.000, 0.000, 0.000)
Ca (0.250, 0.250, 0.500)
Ca (0.250, 0.750, 0.500)
Ca (0.500, 0.500, 0.000)
Ca (0.750, 0.250, 0.500)
Ca (0.750, 0.750, 0.500)
Pr (0.000, 0.500, 0.000)
Pr (0.500, 0.000, 0.000)
Se (0.000, 0.248, 0.000)
Se (0.000, 0.752, 0.000)
Se (0.245, 0.000, 0.500)
Se (0.255, 0.500, 0.500)
Se (0.500, 0.252, 0.000)
Se (0.500, 0.748, 0.000)
Se (0.745, 0.500, 0.500)
Se (0.755, 0.000, 0.500)

***

[4]
The following is a PBE calculation of a relaxed AlHgW2 crystal, from the Alexandria database.

- ΔE_f (meV/atom) = 486
- space-group type = No. 123
- density (g/cm³) = 14.7

Cell: 2.764 2.764 8.828 Å, 90.00 90.00 90.00°
Element x y z (fractional)
Al (0.000, 0.000, 0.000)
Hg (0.000, 0.000, 0.500)
W (0.500, 0.500, 0.232)
W (0.500, 0.500, 0.768)

***

Number 1: total moment 0.000 μB/f.u.. Number 2: total moment 0.000 μB/f.u.. Number 3: total moment 0.000 μB/f.u.. Number 4: total moment 0.000 μB/f.u..